# 1
Computed, not measured: TmNi after structural relaxation at the GGA-PBE level of DFT.

a b c (Å): 4.2099 4.2099 4.2099
angles (deg): 60.00 60.00 60.00
Closest atoms and distances in Å follow each position.
Atoms (fractional coordinates):
1 Ni 0.0000 0.0000 0.0000  4 Tm 2.58
2 Tm 0.2500 0.2500 0.2500  4 Ni 2.58

## Properties
- formation energy from the elements (eV per atom) = 0.443
- M_tot (μB/cell) = 0.0


# 2
Computed, not measured: LaNdI2NCl after structural relaxation at the GGA-PBE level of DFT.

a b c (Å): 9.7324 9.7324 12.6335
angles (deg): 123.90 123.90 24.65
Closest atoms and distances in Å follow each position.
Atoms (fractional coordinates):
1 Cl 0.0383 0.0383 0.2846  2 Nd 2.83, 1 La 2.92
2 Cl 0.9617 0.9617 0.7154  2 Nd 2.83, 1 La 2.92
3 I 0.3460 0.3460 0.0017  3 La 3.36
4 I 0.7681 0.7681 0.3731  2 Nd 3.23, 1 La 3.30
5 I 0.2319 0.2319 0.6269  2 Nd 3.23, 1 La 3.30
6 I 0.6540 0.6540 0.9983  3 La 3.36
7 La 0.8659 0.8659 0.2259  2 N 2.48
8 La 0.1341 0.1341 0.7741  2 N 2.48
9 N 0.4258 0.4258 0.3542  2 Nd 2.34-2.36, 2 La 2.48
10 N 0.5742 0.5742 0.6458  2 Nd 2.34-2.36, 2 La 2.48
11 Nd 0.5758 0.5758 0.4618  2 N 2.34-2.36
12 Nd 0.4242 0.4242 0.5382  2 N 2.34-2.36

## Properties
- E (eV/atom) = -5.562
- M_tot (μB/cell) = 0.0


# 3
Computed, not measured: DySbN2O after structural relaxation at the GGA-PBE level of DFT.

a b c (Å): 8.0943 5.4805 5.6844
angles (deg): 90.00 90.00 90.00
Closest atoms and distances in Å follow each position.
Atoms (fractional coordinates):
1 Dy 0.0000 0.2760 0.0375  2 O 2.30-2.40, 4 N 2.32-2.54
2 Dy 0.5000 0.7758 0.4147  2 O 2.30-2.40, 4 N 2.32-2.54
3 Dy 0.0000 0.7240 0.5375  2 O 2.30-2.40, 4 N 2.32-2.54
4 Dy 0.5000 0.2242 0.9147  2 O 2.30-2.40, 4 N 2.32-2.54
5 N 0.3121 0.0531 0.1762  2 Sb 2.07-2.08
6 N 0.6879 0.0531 0.1762  2 Sb 2.07-2.08
7 N 0.1879 0.5531 0.2759  2 Sb 2.08, 1 Dy 2.32
8 N 0.8121 0.5531 0.2759  2 Sb 2.08, 1 Dy 2.32
9 N 0.3121 0.9469 0.6762  2 Sb 2.07-2.08
10 N 0.6879 0.9469 0.6762  2 Sb 2.07-2.08
11 N 0.1879 0.4469 0.7759  2 Sb 2.08, 1 Dy 2.32
12 N 0.8121 0.4469 0.7759  2 Sb 2.08, 1 Dy 2.32
13 O 0.5000 0.6296 0.0166  2 Sb 2.14, 1 Dy 2.30
14 O 0.0000 0.1295 0.4355  2 Sb 2.14, 1 Dy 2.30
15 O 0.5000 0.3704 0.5166  2 Sb 2.14, 1 Dy 2.30
16 O 0.0000 0.8705 0.9355  2 Sb 2.14, 1 Dy 2.30
17 Sb 0.2500 0.2499 0.4760  4 N 2.07-2.08, 2 O 2.14
18 Sb 0.7500 0.2499 0.4760  4 N 2.07-2.08, 2 O 2.14
19 Sb 0.2500 0.7501 0.9760  4 N 2.07-2.08, 2 O 2.14
20 Sb 0.7500 0.7501 0.9760  4 N 2.07-2.08, 2 O 2.14

## Properties
- E (eV/atom) = -7.053
- M_tot (μB/cell) = 0.0


# 4
Computed, not measured: BaLiSiPd after structural relaxation at the GGA-PBE level of DFT.

a b c (Å): 4.4150 6.1340 6.8184
angles (deg): 90.00 90.00 90.00
Closest atoms and distances in Å follow each position.
Atoms (fractional coordinates):
1 Ba 0.0000 0.6213 0.4867  2 Li 3.16-3.41, 4 Pd 3.22-3.54
2 Ba 0.5000 0.3787 0.9867  2 Li 3.16-3.41, 4 Pd 3.22-3.54
3 Li 0.0000 0.0997 0.3138  3 Si 2.55-2.57, 3 Pd 2.60-2.63
4 Li 0.5000 0.9003 0.8138  3 Si 2.55-2.57, 3 Pd 2.60-2.63
5 Pd 0.5000 0.9073 0.1949  3 Si 2.53-2.57, 3 Li 2.60-2.63
6 Pd 0.0000 0.0927 0.6949  3 Si 2.53-2.57, 3 Li 2.60-2.63
7 Si 0.0000 0.8658 0.0045  3 Pd 2.53-2.57, 3 Li 2.55-2.57
8 Si 0.5000 0.1342 0.5045  3 Pd 2.53-2.57, 3 Li 2.55-2.57

## Properties
- energy above the lowest structure with this stoichiometry (eV/f.u.) = 0.00


# 5
Computed, not measured: Ag2BiW after structural relaxation at the GGA-PBE level of DFT.

a b c (Å): 4.7978 4.7978 4.7978
angles (deg): 60.00 60.00 60.00
Closest atoms and distances in Å follow each position.
Atoms (fractional coordinates):
1 Ag 0.0000 0.0000 0.0000  4 W 2.94, 4 Ag 2.94
2 Ag 0.7500 0.7500 0.7500  4 Bi 2.94, 4 Ag 2.94
3 Bi 0.5000 0.5000 0.5000  4 W 2.94, 4 Ag 2.94
4 W 0.2500 0.2500 0.2500  4 Bi 2.94, 4 Ag 2.94

## Properties
- E (eV/atom) = -4.792
- M_tot (μB/cell) = 1.0


# 6
Computed, not measured: HoNiPd after structural relaxation at the GGA-PBE level of DFT.

a b c (Å): 4.4614 4.4614 4.4614
angles (deg): 60.00 60.00 60.00
Closest atoms and distances in Å follow each position.
Atoms (fractional coordinates):
1 Ho 0.0000 0.0000 0.0000  4 Ni 2.73, 4 Pd 2.73
2 Ni 0.2500 0.2500 0.2500  4 Ho 2.73
3 Pd 0.7500 0.7500 0.7500  4 Ho 2.73

## Properties
- formation energy from the elements (eV per atom) = -0.037
- M_tot (μB/cell) = 0.0


# 7
Computed, not measured: CsGdO3 after structural relaxation at the GGA-PBE level of DFT.

a b c (Å): 3.3372 3.3372 7.5957
angles (deg): 90.00 90.00 90.00
Closest atoms and distances in Å follow each position.
Atoms (fractional coordinates):
1 Cs 0.5000 0.5000 0.4365  5 O 2.79-2.91
2 Gd 0.0000 0.0000 0.9471  8 O 2.34-2.49
3 O 0.5000 0.5000 0.0531  4 Gd 2.49
4 O 0.5000 0.0000 0.7316  2 Gd 2.34, 4 O 2.36
5 O 0.0000 0.5000 0.7316  2 Gd 2.34, 4 O 2.36

## Properties
- E (eV/atom) = -5.648
- M_tot (μB/cell) = 0.0


# 8
Computed, not measured: Sm3Ir after structural relaxation at the GGA-PBE level of DFT.

a b c (Å): 7.3139 9.6713 6.4604
angles (deg): 90.00 90.00 90.00
Closest atoms and distances in Å follow each position.
Atoms (fractional coordinates):
1 Ir 0.6190 0.7500 0.0582  6 Sm 2.84-2.93
2 Ir 0.1190 0.7500 0.4418  6 Sm 2.84-2.93
3 Ir 0.8810 0.2500 0.5582  6 Sm 2.84-2.93
4 Ir 0.3810 0.2500 0.9418  6 Sm 2.84-2.93
5 Sm 0.0346 0.2500 0.1388  2 Ir 2.84-2.93
6 Sm 0.3239 0.5642 0.1706  2 Ir 2.90-2.92
7 Sm 0.3239 0.9358 0.1706  2 Ir 2.90-2.92
8 Sm 0.8239 0.5642 0.3294  2 Ir 2.90-2.92
9 Sm 0.8239 0.9358 0.3294  2 Ir 2.90-2.92
10 Sm 0.5346 0.2500 0.3612  2 Ir 2.84-2.93
11 Sm 0.4654 0.7500 0.6388  2 Ir 2.84-2.93
12 Sm 0.1761 0.0642 0.6706  2 Ir 2.90-2.92
13 Sm 0.1761 0.4358 0.6706  2 Ir 2.90-2.92
14 Sm 0.6761 0.0642 0.8294  2 Ir 2.90-2.92
15 Sm 0.6761 0.4358 0.8294  2 Ir 2.90-2.92
16 Sm 0.9654 0.7500 0.8612  2 Ir 2.84-2.93

## Properties
- formation energy from the elements (eV per atom) = -0.499
- M_tot (μB/cell) = 0.0


# 9
Computed, not measured: LuTlGaSe3 after structural relaxation at the GGA-PBE level of DFT.

a b c (Å): 7.3763 7.3763 10.6988
angles (deg): 90.00 90.00 144.63
Closest atoms and distances in Å follow each position.
Atoms (fractional coordinates):
1 Ga 0.4795 0.5205 0.2500  4 Se 2.52-2.55
2 Ga 0.5205 0.4795 0.7500  4 Se 2.52-2.55
3 Lu 0.0000 0.0000 0.0000  6 Se 2.83-2.92
4 Lu 0.0000 0.0000 0.5000  6 Se 2.83-2.92
5 Se 0.3747 0.6253 0.0588  1 Ga 2.52
6 Se 0.0664 0.9336 0.2500  2 Ga 2.55, 2 Lu 2.83
7 Se 0.3747 0.6253 0.4412  1 Ga 2.52
8 Se 0.6253 0.3747 0.5588  1 Ga 2.52
9 Se 0.9336 0.0664 0.7500  2 Ga 2.55, 2 Lu 2.83
10 Se 0.6253 0.3747 0.9412  1 Ga 2.52
11 Tl 0.7429 0.2571 0.2500  8 Se 3.34-3.69, 1 Ga 3.70
12 Tl 0.2571 0.7429 0.7500  8 Se 3.34-3.69, 1 Ga 3.70

## Properties
- E (eV/atom) = -4.333
- M_tot (μB/cell) = 0.0


# 10
Computed, not measured: GdErGe2 after structural relaxation at the GGA-PBE level of DFT.

a b c (Å): 9.4592 9.4592 5.4200
angles (deg): 90.00 90.00 154.76
Closest atoms and distances in Å follow each position.
Atoms (fractional coordinates):
1 Er 0.7029 0.2971 0.2500  5 Ge 2.72-2.95
2 Er 0.2971 0.7029 0.7500  5 Ge 2.72-2.95
3 Gd 0.9212 0.0788 0.2500  4 Ge 2.90-3.05
4 Gd 0.0788 0.9212 0.7500  4 Ge 2.90-3.05
5 Ge 0.5430 0.4570 0.2500  1 Er 2.95, 2 Gd 3.05, 2 Ge 3.14
6 Ge 0.3113 0.6887 0.2500  4 Er 2.72-2.88, 2 Gd 2.90
7 Ge 0.6887 0.3113 0.7500  4 Er 2.72-2.88, 2 Gd 2.90
8 Ge 0.4570 0.5430 0.7500  1 Er 2.95, 2 Gd 3.05, 2 Ge 3.14

## Properties
- energy above the lowest structure with this stoichiometry (eV/f.u.) = 1.11
- M_tot (μB/cell) = 0.0


# 11
Computed, not measured: RbNd2Cu3TeSe4 after structural relaxation at the GGA-PBE level of DFT.

a b c (Å): 7.6314 7.6314 18.0527
angles (deg): 90.00 90.00 147.60
Closest atoms and distances in Å follow each position.
Atoms (fractional coordinates):
1 Cu 0.4151 0.5849 0.0284  4 Se 2.53-2.57, 1 Cu 2.69
2 Cu 0.6588 0.3412 0.2500  2 Te 2.53
3 Cu 0.4151 0.5849 0.4716  4 Se 2.53-2.57, 1 Cu 2.69
4 Cu 0.5849 0.4151 0.5284  4 Se 2.53-2.57, 1 Cu 2.69
5 Cu 0.3412 0.6588 0.7500  2 Te 2.53
6 Cu 0.5849 0.4151 0.9716  4 Se 2.53-2.57, 1 Cu 2.69
7 Nd 0.1897 0.8103 0.0864  5 Se 2.89-3.06, 1 Te 3.09
8 Nd 0.1897 0.8103 0.4136  5 Se 2.89-3.06, 1 Te 3.09
9 Nd 0.8103 0.1897 0.5864  5 Se 2.89-3.06, 1 Te 3.09
10 Nd 0.8103 0.1897 0.9136  5 Se 2.89-3.06, 1 Te 3.09
11 Rb 0.9511 0.0489 0.2500  2 Te 3.61, 6 Se 3.61-3.62, 2 Cu 3.72
12 Rb 0.0489 0.9511 0.7500  2 Te 3.61, 6 Se 3.61-3.62, 2 Cu 3.72
13 Se 0.8389 0.1611 0.0718  2 Cu 2.53
14 Se 0.5558 0.4442 0.1120  2 Cu 2.56-2.57
15 Se 0.5558 0.4442 0.3880  2 Cu 2.56-2.57
16 Se 0.8389 0.1611 0.4282  2 Cu 2.53
17 Se 0.1611 0.8389 0.5718  2 Cu 2.53
18 Se 0.4442 0.5558 0.6120  2 Cu 2.56-2.57
19 Se 0.4442 0.5558 0.8880  2 Cu 2.56-2.57
20 Se 0.1611 0.8389 0.9282  2 Cu 2.53
21 Te 0.2521 0.7479 0.2500  2 Cu 2.53
22 Te 0.7479 0.2521 0.7500  2 Cu 2.53

## Properties
- E (eV/atom) = -4.561
- M_tot (μB/cell) = 0.0


# 12
Computed, not measured: BaHoCuTeS2 after structural relaxation at the GGA-PBE level of DFT.

a b c (Å): 7.6182 7.6182 10.9302
angles (deg): 90.00 90.00 148.92
Closest atoms and distances in Å follow each position.
Atoms (fractional coordinates):
1 Ba 0.2176 0.7824 0.2500  4 S 3.19, 2 Te 3.46, 2 Cu 3.51
2 Ba 0.7824 0.2176 0.7500  4 S 3.19, 2 Te 3.46, 2 Cu 3.51
3 Cu 0.5232 0.4768 0.2500  2 S 2.34
4 Cu 0.4768 0.5232 0.7500  2 S 2.34
5 Ho 0.0000 0.0000 0.0000  4 S 2.76, 2 Te 3.05
6 Ho 0.0000 0.0000 0.5000  4 S 2.76, 2 Te 3.05
7 S 0.6141 0.3859 0.0744  1 Cu 2.34
8 S 0.6141 0.3859 0.4256  1 Cu 2.34
9 S 0.3859 0.6141 0.5744  1 Cu 2.34
10 S 0.3859 0.6141 0.9256  1 Cu 2.34
11 Te 0.9081 0.0919 0.2500  2 Cu 2.65
12 Te 0.0919 0.9081 0.7500  2 Cu 2.65

## Properties
- E (eV/atom) = -5.110
- M_tot (μB/cell) = 0.0